[1]
The following is a SCAN calculation of Cu3TeI at its PBEsol-relaxed geometry, from Alexandria.

The structure in extended XYZ format:
```
5
Lattice="-1.335 -2.249 -4.095 3.931 -2.843 0.280 -2.525 -3.236 2.600" Properties=species:S:1:pos:R:3 pbc="T T T"
I 0.000 0.000 0.000
Te 0.035 -4.164 -0.608
Cu 1.965 -1.421 0.140
Cu -1.263 -1.618 1.300
Cu -0.667 -1.124 -2.048
```

Summary:
- N(E_F): 1.2 states/eV/cell
- Crystal system: cubic
- ΔE_f (raw): 0.8419 eV/atom
- Space group: Pm-3m

[2]
The following is a SCAN calculation of Ti3CuI at its PBEsol-relaxed geometry, from Alexandria.

The structure in extended XYZ format:
```
5
Lattice="4.627 0.000 0.000 0.000 4.627 0.000 0.000 0.000 4.627" Properties=species:S:1:pos:R:3 pbc="T T T"
I 2.314 2.314 2.314
Cu 0.000 0.000 0.000
Ti 0.000 2.314 0.000
Ti 0.000 0.000 2.314
Ti 2.314 0.000 0.000
```

Summary:
- N(E_F): 5.3 states/eV/cell
- Crystal system: cubic
- ΔE_f (raw): 0.5982 eV/atom
- Space group: Pm-3m

[3]
The following is a SCAN calculation of TiCuI2 at its PBEsol-relaxed geometry, from Alexandria.

The structure in extended XYZ format:
```
4
Lattice="-2.498 2.397 3.516 -0.648 -2.086 4.424 2.379 1.780 3.939" Properties=species:S:1:pos:R:3 pbc="T T T"
I -0.192 0.523 2.970
I -0.575 1.569 8.909
Cu -0.384 1.046 5.940
Ti 0.000 0.000 0.000
```

Summary:
- N(E_F): 2.2 states/eV/cell
- Crystal system: cubic
- ΔE_f (raw): 0.2880 eV/atom
- Space group: Fm-3m